# 1
VASP calculation (PBE-GGA) on a relaxed La2ErGe crystal.

Cell: 3.6731 3.6731 33.7305 Å, 90.00 90.00 120.00°
Space group R-3m (No. 166, hexagonal axes)
Asymmetric unit:
1 La 0.0000 0.0000 0.1019 x6
2 Er 0.0000 0.0000 0.0000 x3
3 Ge 0.0000 0.0000 0.5000 x3

Computed properties:
mass density	6.544	Mg/m³
energy	-4.763	eV/atom
DOS at the Fermi energy	19.825	states/eV/cell
energy of formation	-0.004	eV per atom
polymorph energy (0 for the lowest one)	0.340	eV per atom

---

# 2
VASP calculation (PBE-GGA) on a relaxed CoAu2Br crystal.

Cell: 12.804 2.984 4.180 Å, 90.00 108.98 90.00°
Space group C2/m (No. 12)
Asymmetric unit:
1 Co 0.000 0.000 0.000 x2
2 Au 0.197 0.500 0.197 x4
3 Br 0.000 0.500 0.500 x2

Computed properties:
mass density	11.716	Mg/m³
energy	-3.430	eV/atom
DOS at the Fermi energy	10.494	states/eV/cell
raw formation energy	404	meV/atom
polymorph energy (0 for the lowest one)	0.173	eV per atom

---

# 3
VASP calculation (PBE-GGA) on a relaxed KZn2SbBr8 crystal.

Cell: 6.8331 6.8331 30.9145 Å, 90.00 90.00 120.00°
Space group R-3 (No. 148, hexagonal axes)
Asymmetric unit:
1 K 0.0000 0.0000 0.0000 x3
2 Zn 0.0000 0.0000 0.2474 x6
3 Sb 0.0000 0.0000 0.5000 x3
4 Br 0.0000 0.0000 0.3237 x6
5 Br 0.0040 0.6798 0.1122 x18

Computed properties:
mass density	3.710	Mg/m³
energy	-2.650	eV/atom
DOS at the Fermi energy	0.000	states/eV/cell
raw formation energy	-888	meV/atom

---

# 4
VASP calculation (PBE-GGA) on a relaxed AlZnTc2 crystal.

Cell: 2.684 2.684 8.038 Å, 90.00 90.00 90.00°
Space group P4/mmm (No. 123)
Asymmetric unit:
1 Al 0.000 0.000 0.000 x1
2 Zn 0.000 0.000 0.500 x1
3 Tc 0.500 0.500 0.247 x2

Computed properties:
mass density	8.268	Mg/m³
energy	-6.379	eV/atom
DOS at the Fermi energy	5.152	states/eV/cell
energy of formation	0.058	eV per atom
polymorph energy (0 for the lowest one)	0.265	eV per atom

---

# 5
VASP calculation (PBE-GGA) on a relaxed Sc2CrFe crystal.

Cell: 6.987 6.987 5.519 Å, 90.00 90.00 90.00°
Space group I-42d (No. 122)
Asymmetric unit:
1 Sc 0.232 0.250 0.125 x8
2 Cr 0.000 0.000 0.500 x4
3 Fe 0.000 0.000 0.000 x4

Computed properties:
mass density	4.875	Mg/m³
energy	-7.019	eV/atom
DOS at the Fermi energy	25.824	states/eV/cell
energy of formation	0.668	eV per atom
polymorph energy (0 for the lowest one)	0.596	eV per atom

---

# 6
VASP calculation (PBE-GGA) on a relaxed BaPm2Pr3Te6 crystal.

Cell: 19.939 4.557 9.226 Å, 90.00 103.63 90.00°
Space group C2/m (No. 12)
Asymmetric unit:
1 Ba 0.000 0.000 0.000 x2
2 Pm 0.170 0.500 0.342 x4
3 Pr 0.000 0.000 0.500 x2
4 Pr 0.162 0.500 0.818 x4
5 Te 0.005 0.500 0.265 x4
6 Te 0.166 0.000 0.578 x4
7 Te 0.174 0.000 0.087 x4

Computed properties:
mass density	6.586	Mg/m³
energy	-5.175	eV/atom
DOS at the Fermi energy	12.025	states/eV/cell
raw formation energy	-1457	meV/atom

---

# 7
VASP calculation (PBE-GGA) on a relaxed LaNiMo2 crystal.

Cell: 4.485 4.485 3.452 Å, 90.00 90.00 90.00°
Space group P4/mmm (No. 123)
Asymmetric unit:
1 La 0.000 0.000 0.000 x1
2 Ni 0.500 0.500 0.000 x1
3 Mo 0.000 0.500 0.500 x2

Computed properties:
mass density	9.315	Mg/m³
energy	-7.328	eV/atom
DOS at the Fermi energy	5.676	states/eV/cell
energy of formation	0.765	eV per atom
polymorph energy (0 for the lowest one)	0.548	eV per atom

---

# 8
VASP calculation (PBE-GGA) on a relaxed Dy2Y4Ho2Er crystal.

Cell: 18.606 3.580 9.503 Å, 90.00 115.79 90.00°
Space group C2/m (No. 12)
Asymmetric unit:
1 Dy 0.149 0.000 0.167 x4
2 Y 0.019 0.500 0.834 x4
3 Y 0.185 0.000 0.833 x4
4 Ho 0.167 0.500 0.499 x4
5 Er 0.000 0.000 0.500 x2

Computed properties:
mass density	6.862	Mg/m³
energy	-5.417	eV/atom
DOS at the Fermi energy	25.118	states/eV/cell
energy of formation	0.003	eV per atom

---

# 9
VASP calculation (PBE-GGA) on a relaxed Rb2AlCu crystal.

Cell: 13.202 13.202 4.713 Å, 90.00 90.00 90.00°
Space group I-42d (No. 122)
Asymmetric unit:
1 Rb 0.059 0.250 0.125 x8
2 Al 0.000 0.000 0.500 x4
3 Cu 0.000 0.000 0.000 x4

Computed properties:
mass density	2.114	Mg/m³
energy	-2.148	eV/atom
DOS at the Fermi energy	16.069	states/eV/cell
energy of formation	0.295	eV per atom
polymorph energy (0 for the lowest one)	0.000	eV per atom

---

# 10
VASP calculation (PBE-GGA) on a relaxed Be2ZnCl crystal.

Cell: 3.454 3.454 11.024 Å, 90.00 90.00 90.00°
Space group I4/mmm (No. 139)
Asymmetric unit:
1 Be 0.000 0.500 0.250 x4
2 Zn 0.000 0.000 0.000 x2
3 Cl 0.000 0.000 0.500 x2

Computed properties:
mass density	3.003	Mg/m³
energy	-1.906	eV/atom
DOS at the Fermi energy	3.778	states/eV/cell
raw formation energy	738	meV/atom
polymorph energy (0 for the lowest one)	0.690	eV per atom

---

# 11
VASP calculation (PBE-GGA) on a relaxed Mg3NO crystal.

Cell: 3.260 16.735 5.308 Å, 90.00 90.00 90.00°
Space group Cmc2_1 (No. 36)
Asymmetric unit:
1 Mg 0.000 0.081 0.000 x4
2 Mg 0.000 0.277 0.440 x4
3 Mg 0.000 0.378 0.022 x4
4 N 0.000 0.180 0.702 x4
5 O 0.000 0.375 0.658 x4

Computed properties:
mass density	2.361	Mg/m³
energy	-4.896	eV/atom
DOS at the Fermi energy	2.345	states/eV/cell
raw formation energy	-1282	meV/atom
polymorph energy (0 for the lowest one)	0.000	eV per atom

---

# 12
VASP calculation (PBE-GGA) on a relaxed Rb2HO crystal.

Cell: 3.575 14.789 7.087 Å, 90.00 90.00 90.00°
Space group Cmcm (No. 63)
Asymmetric unit:
1 Rb 0.000 0.116 0.005 x8
2 H 0.000 0.271 0.750 x4
3 O 0.000 0.491 0.250 x4

Computed properties:
mass density	3.331	Mg/m³
energy	-2.901	eV/atom
DOS at the Fermi energy	11.707	states/eV/cell
polymorph energy (0 for the lowest one)	0.015	eV per atom